Arrangement 1

Here is a relaxed structure of AcTeBr from Alexandria. Energies are from PBE-GGA.

Unit cell a=4.779 b=6.512 c=8.808 alpha=90.00 beta=90.59 gamma=90.00
Fractional positions:
Br 0.757 0.250 0.386
Br 0.243 0.750 0.614
Ac 0.747 0.750 0.834
Ac 0.253 0.250 0.166
Te 0.252 0.750 0.101
Te 0.748 0.250 0.899

Properties
- Density: 5.3 g/cm³
- Magnetic moment: 0.0 Bohr magnetons per cell
- Volume: 45.686 Å³/atom

Arrangement 2

Here is a relaxed structure of AcTeBr from Alexandria. Energies are from PBE-GGA.

Unit cell a=6.914 b=4.813 c=4.813 alpha=120.00 beta=90.00 gamma=90.00
Fractional positions:
Ac 0.000 0.000 0.000
Te 0.240 0.333 0.667
Br 0.760 0.667 0.333

Properties
- Density: 5.2 g/cm³
- Magnetic moment: 0.0 Bohr magnetons per cell
- Volume: 46.238 Å³/atom

Energies, relative to the best one, in meV/atom: arrangement 1 0; arrangement 2 86.

Arrangement 1

Here is a relaxed structure of Ac2TlBr from Alexandria. Energies are from PBE-GGA.

Unit cell a=4.912 b=4.912 c=7.668 alpha=71.32 beta=71.32 gamma=60.00
Fractional positions:
Tl 0.000 0.000 0.000
Ac 0.747 0.747 0.758
Ac 0.253 0.253 0.242
Br 0.500 0.500 0.500

Properties
- Density: 8.2 g/cm³
- Magnetic moment: 0.0 Bohr magnetons per cell
- Volume: 37.215 Å³/atom

Arrangement 2

Here is a relaxed structure of Ac2TlBr from Alexandria. Energies are from PBE-GGA.

Unit cell a=3.913 b=3.913 c=8.733 alpha=90.00 beta=90.00 gamma=90.00
Fractional positions:
Ac 0.000 0.000 0.743
Ac 0.000 0.000 0.257
Tl 0.500 0.500 0.500
Br 0.500 0.500 0.000

Properties
- Density: 9.2 g/cm³
- Magnetic moment: 0.0 Bohr magnetons per cell
- Volume: 33.436 Å³/atom

Energies, relative to the best one, in meV/atom: arrangement 1 0; arrangement 2 33.